Material: RbRe3I
Method: DFT, SCAN
State: PBEsol geometry

Values from the calculation:
* size of the total moment: 0.489 μB/atom
* raw formation energy: 4682 meV per atom
* final energy: -49.47 eV/atom

CIF file:
```
data_RbRe3I
_space_group_name_H-M_alt 'P m -3 m'
_space_group_IT_number 221
_space_group_name_Hall '-P 4 2 3'
_cell_length_a 4.732
_cell_length_b 4.732
_cell_length_c 4.732
_cell_angle_alpha 90.00
_cell_angle_beta 90.00
_cell_angle_gamma 90.00
loop_
_atom_site_label
_atom_site_fract_x
_atom_site_fract_y
_atom_site_fract_z
_atom_site_occupancy
Rb1 0.000 0.000 0.000 1
Re1 0.000 0.000 0.500 1
I1 0.500 0.500 0.500 1
```